Record 1
This record from Alexandria via LeMat-Bulk describes a relaxed K2TlGaCl6 crystal. The functional is PBE.

Lattice parameters (Å, degrees): 7.6382 7.6382 7.6382 60.00 60.00 60.00
Atoms (fractional coordinates):
K 0.7500 0.7500 0.7500
K 0.2500 0.2500 0.2500
Tl 0.5000 0.5000 0.5000
Ga 0.0000 0.0000 0.0000
Cl 0.2218 0.7782 0.2218
Cl 0.7782 0.2218 0.2218
Cl 0.7782 0.2218 0.7782
Cl 0.2218 0.2218 0.7782
Cl 0.7782 0.7782 0.2218
Cl 0.2218 0.7782 0.7782

## Properties
As for the space group: Fm-3m (225). The density is 2.98 g cm⁻³. The formation energy without anion corrections comes out at -133.1 kJ/mol of atoms.

***

Record 2
This record from Alexandria via LeMat-Bulk describes a relaxed Nd3Zn4Cd4 crystal. The functional is PBE.

Lattice parameters (Å, degrees): 4.4598 7.5880 8.7303 115.76 104.80 90.00
Atoms (fractional coordinates):
Nd 0.1247 0.1247 0.2494
Nd 0.8753 0.8753 0.7506
Nd 0.0000 0.5000 0.0000
Zn 0.2221 0.7221 0.4442
Zn 0.7779 0.2779 0.5558
Zn 0.5000 0.8251 0.0000
Zn 0.5000 0.1749 0.0000
Cd 0.3316 0.1379 0.6631
Cd 0.6684 0.4748 0.3369
Cd 0.6684 0.8621 0.3369
Cd 0.3316 0.5252 0.6631

## Properties
As for the space group: Immm (71). The density is 7.45 g cm⁻³. The value obtained for the energy above the most stable polymorph in this dataset is 0.0152 eV/atom. The energy of formation from the pure elements is -272 meV per atom.

***

Record 3
This record from Alexandria via LeMat-Bulk describes a relaxed NaIn2 crystal. The functional is PBE.

Lattice parameters (Å, degrees): 4.9696 6.3492 6.3492 73.35 66.96 66.96
Atoms (fractional coordinates):
Na 0.5454 0.2046 0.7046
Na 0.4546 0.7954 0.2954
In 0.1622 0.7932 0.8824
In 0.8378 0.2068 0.1176
In 0.8378 0.6176 0.7068
In 0.1622 0.3824 0.2932

## Properties
As for the space group: Imma (74). The density is 5.01 g cm⁻³. The value obtained for the energy above the most stable polymorph in this dataset is 0.0000 eV/atom. The energy of formation from the pure elements is -124 meV per atom.

***

Question: What is the density in the first record?
Answer: 2.98 g cm⁻³